Record 1
# LaPrNi

A geometry-optimized LaPrNi structure (GGA-PBE, OQMD via LeMat-Bulk).

Cell and atoms, written as extended XYZ:
```
3
Lattice="0.0000 3.4968 3.4968 3.4968 0.0000 3.4968 3.4968 3.4968 0.0000" Properties=species:S:1:pos:R:3 pbc="T T T"
La 0.0000 0.0000 0.0000
Pr 3.4968 3.4968 3.4968
Ni 1.7484 1.7484 1.7484
```

ΔE to the lowest computed polymorph = 0.0 kJ/mol of atoms
calculated formation energy = -0.045 eV/atom

=====

Record 2
# LaPr2Ni2Pt7

A geometry-optimized LaPr2Ni2Pt7 structure (GGA-PBE, OQMD via LeMat-Bulk).

Cell and atoms, written as extended XYZ:
```
12
Lattice="2.7334 1.5781 8.6588 -2.7334 1.5781 8.6588 0.0000 -3.1563 8.6588" Properties=species:S:1:pos:R:3 pbc="T T T"
La 0.0000 0.0000 0.0000
Pr 0.0000 0.0000 3.6290
Pr 0.0000 0.0000 22.3473
Ni 0.0000 0.0000 8.6521
Ni 0.0000 0.0000 17.3242
Pt -1.3777 -0.7954 10.7281
Pt 0.0000 -1.5909 15.2483
Pt -1.3777 0.7954 15.2483
Pt 0.0000 0.0000 12.9882
Pt 1.3777 -0.7954 10.7281
Pt 0.0000 1.5909 10.7281
Pt 1.3777 0.7954 15.2483
```

calculated formation energy = -0.852 eV/atom

=====

Record 3
# La2PrNiPt8

A geometry-optimized La2PrNiPt8 structure (GGA-PBE, OQMD via LeMat-Bulk).

Cell and atoms, written as extended XYZ:
```
12
Lattice="2.7397 1.5818 8.8437 -2.7397 1.5818 8.8437 0.0000 -3.1635 8.8437" Properties=species:S:1:pos:R:3 pbc="T T T"
La 0.0000 0.0000 3.7168
La 0.0000 0.0000 22.8142
Pr 0.0000 0.0000 0.0000
Ni 0.0000 0.0000 13.2655
Pt -1.3706 -0.7913 11.1394
Pt 0.0000 0.0000 8.8193
Pt 0.0000 -1.5827 15.3915
Pt -1.3706 0.7913 15.3915
Pt 1.3706 -0.7913 11.1395
Pt 0.0000 1.5827 11.1395
Pt 0.0000 0.0000 17.7117
Pt 1.3706 0.7913 15.3916
```

calculated formation energy = -0.866 eV/atom

=====

Record 4
# LaPr2Ni3Pt6

A geometry-optimized LaPr2Ni3Pt6 structure (GGA-PBE, OQMD via LeMat-Bulk).

Cell and atoms, written as extended XYZ:
```
12
Lattice="2.7314 1.5770 8.4419 -2.7314 1.5770 8.4419 0.0000 -3.1540 8.4419" Properties=species:S:1:pos:R:3 pbc="T T T"
La 0.0000 0.0000 0.0000
Pr 0.0000 0.0000 3.5605
Pr 0.0000 0.0000 21.7652
Ni 0.0000 0.0000 8.4287
Ni 0.0000 0.0000 12.6628
Ni 0.0000 0.0000 16.8969
Pt -1.3674 -0.7895 10.5213
Pt 0.0000 -1.5789 14.8043
Pt -1.3674 0.7895 14.8043
Pt 1.3674 -0.7895 10.5213
Pt 0.0000 1.5789 10.5213
Pt 1.3674 0.7895 14.8043
```

calculated formation energy = -0.794 eV/atom

=====

Record 5
# La2PrNi3Pt6

A geometry-optimized La2PrNi3Pt6 structure (GGA-PBE, OQMD via LeMat-Bulk).

Cell and atoms, written as extended XYZ:
```
12
Lattice="2.7275 1.5747 8.4776 -2.7275 1.5747 8.4776 0.0000 -3.1494 8.4776" Properties=species:S:1:pos:R:3 pbc="T T T"
La 0.0000 0.0000 3.5659
La 0.0000 0.0000 21.8667
Pr 0.0000 0.0000 0.0000
Ni 0.0000 0.0000 8.4605
Ni 0.0000 0.0000 12.7163
Ni 0.0000 0.0000 16.9722
Pt -1.3638 -0.7874 10.5609
Pt 0.0000 -1.5748 14.8717
Pt -1.3638 0.7874 14.8717
Pt 1.3638 -0.7874 10.5609
Pt 0.0000 1.5748 10.5609
Pt 1.3638 0.7874 14.8718
```

calculated formation energy = -0.798 eV/atom

=====

Record 6
# La2PrNi8Pt

A geometry-optimized La2PrNi8Pt structure (GGA-PBE, OQMD via LeMat-Bulk).

Cell and atoms, written as extended XYZ:
```
12
Lattice="2.5421 1.4677 8.5246 -2.5421 1.4677 8.5246 0.0000 -2.9353 8.5246" Properties=species:S:1:pos:R:3 pbc="T T T"
La 0.0000 0.0000 3.4696
La 0.0000 0.0000 22.1042
Pr 0.0000 0.0000 0.0000
Ni -1.2767 -0.7371 10.5205
Ni 0.0000 0.0000 8.5066
Ni 0.0000 -1.4742 15.0533
Ni -1.2767 0.7371 15.0533
Ni 1.2767 -0.7371 10.5205
Ni 0.0000 1.4742 10.5205
Ni 0.0000 0.0000 17.0672
Ni 1.2767 0.7371 15.0533
Pt 0.0000 0.0000 12.7869
```

calculated formation energy = -0.423 eV/atom

=====

Record 7
# LaPr2Si4Ni2Pt2

A geometry-optimized LaPr2Si4Ni2Pt2 structure (GGA-PBE, OQMD via LeMat-Bulk).

Cell and atoms, written as extended XYZ:
```
11
Lattice="-2.0754 2.1120 12.0249 2.0754 -2.1120 12.0249 2.0754 2.1120 -12.0249" Properties=species:S:1:pos:R:3 pbc="T T T"
La 0.0000 0.0000 0.0000
Pr 2.0754 0.0000 3.4655
Pr 0.0000 2.1120 8.5594
Si 2.0754 0.0000 7.3995
Si 0.0000 0.0000 10.7967
Si 0.0000 0.0000 13.2531
Si 0.0000 2.1120 4.6254
Ni 2.0754 0.0000 9.7012
Ni 0.0000 2.1120 2.3237
Pt 0.0000 0.0000 5.9537
Pt 0.0000 0.0000 18.0962
```

total energy = -69.2 eV per formula unit

=====

Record 8
# La2PrSi4Ni2Pt2

A geometry-optimized La2PrSi4Ni2Pt2 structure (GGA-PBE, OQMD via LeMat-Bulk).

Cell and atoms, written as extended XYZ:
```
11
Lattice="-2.0609 2.1088 12.1749 2.0609 -2.1088 12.1749 2.0609 2.1088 -12.1749" Properties=species:S:1:pos:R:3 pbc="T T T"
La 0.0000 0.0000 3.4833
La 0.0000 0.0000 20.8665
Pr 2.0609 0.0000 0.0000
Si 0.0000 0.0000 7.4843
Si 2.0609 0.0000 10.9586
Si 0.0000 2.1088 1.2163
Si 0.0000 0.0000 16.8655
Ni 0.0000 0.0000 9.8180
Ni 0.0000 0.0000 14.5318
Pt 2.0609 0.0000 6.0236
Pt 0.0000 2.1088 6.1513
```

total energy = -69.4 eV per formula unit

=====

Record 9
# LaPr2NiSn3Pt2

A geometry-optimized LaPr2NiSn3Pt2 structure (GGA-PBE, OQMD via LeMat-Bulk).

Cell and atoms, written as extended XYZ:
```
9
Lattice="4.0904 0.0000 0.0000 0.0000 6.6535 3.8479 0.0000 -6.6535 3.8479" Properties=species:S:1:pos:R:3 pbc="T T T"
La 0.0000 0.0000 0.0000
Pr 0.0000 -2.7211 2.9583
Pr 0.0000 2.7211 2.9583
Ni 0.0000 0.0000 4.5263
Sn 2.0452 0.0000 2.6796
Sn 2.0452 -1.6199 5.4528
Sn 2.0452 1.6199 5.4528
Pt 2.0452 -4.4462 4.5208
Pt 2.0452 4.4462 4.5208
```

total energy = -52.6 eV per formula unit

=====

Record 10
# LaPr2Si4Ni4

A geometry-optimized LaPr2Si4Ni4 structure (GGA-PBE, OQMD via LeMat-Bulk).

Cell and atoms, written as extended XYZ:
```
11
Lattice="-2.0544 2.0755 11.7682 2.0544 -2.0755 11.7682 2.0544 2.0755 -11.7682" Properties=species:S:1:pos:R:3 pbc="T T T"
La 0.0000 0.0000 0.0000
Pr 2.0544 0.0000 3.5146
Pr 0.0000 2.0755 8.2536
Si 2.0544 0.0000 7.0545
Si 0.0000 0.0000 10.5480
Si 0.0000 0.0000 12.9884
Si 0.0000 2.0755 4.7137
Ni 0.0000 0.0000 5.8521
Ni 2.0544 0.0000 9.4353
Ni 0.0000 2.0755 2.3329
Ni 0.0000 0.0000 17.6843
```

total energy = -66.8 eV per formula unit

=====

Record 11
# La2PrSi4Ni4

A geometry-optimized La2PrSi4Ni4 structure (GGA-PBE, OQMD via LeMat-Bulk).

Cell and atoms, written as extended XYZ:
```
11
Lattice="-2.0450 2.0757 11.8181 2.0450 -2.0757 11.8181 2.0450 2.0757 -11.8181" Properties=species:S:1:pos:R:3 pbc="T T T"
La 0.0000 0.0000 3.5283
La 0.0000 0.0000 20.1079
Pr 2.0450 0.0000 0.0000
Si 0.0000 0.0000 7.0717
Si 2.0450 0.0000 10.6085
Si 0.0000 2.0757 1.2096
Si 0.0000 0.0000 16.5645
Ni 2.0450 0.0000 5.8751
Ni 0.0000 0.0000 9.4629
Ni 0.0000 0.0000 14.1733
Ni 0.0000 2.0757 5.9430
```

total energy = -66.9 eV per formula unit

=====

Record 12
# LaPr2Zn2Si4Ni2

A geometry-optimized LaPr2Zn2Si4Ni2 structure (GGA-PBE, OQMD via LeMat-Bulk).

Cell and atoms, written as extended XYZ:
```
11
Lattice="-2.0804 2.1125 11.9432 2.0804 -2.1125 11.9432 2.0804 2.1125 -11.9432" Properties=species:S:1:pos:R:3 pbc="T T T"
La 0.0000 0.0000 0.0000
Pr 2.0804 0.0000 3.6787
Pr 0.0000 2.1125 8.2646
Zn 2.0804 0.0000 9.5284
Zn 0.0000 2.1125 2.4149
Si 2.0804 0.0000 7.0710
Si 0.0000 0.0000 10.7502
Si 0.0000 0.0000 13.1363
Si 0.0000 2.1125 4.8722
Ni 0.0000 0.0000 5.9652
Ni 0.0000 0.0000 17.9213
```

ΔE to the lowest computed polymorph = 0.0 kJ/mol of atoms